Au2Se: optimized geometry, PBE.

Structure (POSCAR):
```
Au2Se
1.0
4.413 0.000 0.000
0.000 5.898 0.000
-1.353 0.000 5.665
Au Se
4 2
Direct
0.003 0.000 0.001
0.004 0.000 0.499
0.996 0.500 0.501
0.997 0.500 0.999
0.342 0.250 0.804
0.658 0.750 0.196
```

Properties
DFT total energy	-20.0	eV per cell
space-group type	No. 4

AuSe: optimized geometry, PBE.

Structure (POSCAR):
```
AuSe
1.0
2.911 0.000 0.000
-1.455 2.521 0.000
0.000 0.000 5.272
Au Se
1 1
Direct
0.000 0.000 0.000
0.667 0.333 0.500
```

Properties
DFT total energy	-5.9	eV per cell
space-group type	No. 187

AuSe2: optimized geometry, PBE.

Structure (POSCAR):
```
AuSe2
1.0
0.000 3.986 3.986
3.986 0.000 3.986
3.986 3.986 0.000
Au Se
2 4
Direct
0.125 0.125 0.125
0.875 0.875 0.875
0.000 0.500 0.500
0.500 0.000 0.500
0.500 0.500 0.000
0.500 0.500 0.500
```

Properties
DFT total energy	-16.1	eV per cell
space-group type	No. 227

AuSe: optimized geometry, PBE.

Structure (POSCAR):
```
AuSe
1.0
0.000 2.740 2.740
2.740 0.000 2.740
2.740 2.740 0.000
Au Se
1 1
Direct
0.000 0.000 0.000
0.500 0.500 0.500
```

Properties
DFT total energy	-6.6	eV per cell
space-group type	No. 225